P | Entry from Alexandria: RuAu after structural relaxation (PBE-GGA).

Output
- theoretical density (Mg/m³) = 15.38
- crystal system = tetragonal
- total magnetization (μB per cell) = 1.3
- DOS at the Fermi energy (states/eV/f.u.) = 2.32

a = 2.7663 Å, b = 2.7663 Å, c = 4.2038 Å
α = 90.00°, β = 90.00°, γ = 90.00°
Space group P4/mmm (No. 123)
Unique sites:
Ru 0.0000 0.0000 0.0000 [1 per cell]
Au 0.5000 0.5000 0.5000 [1 per cell]


Q | Entry from Alexandria: RuAu after structural relaxation (PBE-GGA).

Output
- theoretical density (Mg/m³) = 15.38
- crystal system = tetragonal
- total magnetization (μB per cell) = 0.0
- DOS at the Fermi energy (states/eV/f.u.) = 1.70

a = 2.8123 Å, b = 2.8123 Å, c = 8.1359 Å
α = 90.00°, β = 90.00°, γ = 90.00°
Space group P4/nmm (No. 129, origin choice 2)
Unique sites:
Ru 0.2500 0.2500 0.0994 [2 per cell]
Au 0.2500 0.2500 0.6389 [2 per cell]


Energetically preferred structure: Q | next structure: +0.344 eV/atom


P | Entry from Alexandria: RuAu after structural relaxation (PBE-GGA).

Output
- theoretical density (Mg/m³) = 14.58
- crystal system = tetragonal
- total magnetization (μB per cell) = 0.0
- DOS at the Fermi energy (states/eV/f.u.) = 2.04

a = 8.0643 Å, b = 8.0643 Å, c = 4.1760 Å
α = 90.00°, β = 90.00°, γ = 90.00°
Space group I4/mmm (No. 139)
Unique sites:
Ru 0.1541 0.1541 0.0000 [8 per cell]
Au 0.0000 0.3074 0.5000 [8 per cell]


Q | Entry from Alexandria: RuAu after structural relaxation (PBE-GGA).

Output
- theoretical density (Mg/m³) = 8.47
- crystal system = hexagonal
- total magnetization (μB per cell) = 0.0
- DOS at the Fermi energy (states/eV/f.u.) = 1.72

a = 10.3021 Å, b = 10.3021 Å, c = 3.8156 Å
α = 90.00°, β = 90.00°, γ = 120.00°
Space group P6_3/m (No. 176)
Unique sites:
Ru 0.0034 0.5654 0.2500 [6 per cell]
Au 0.2132 0.7323 0.7500 [6 per cell]


Energetically preferred structure: P | next structure: +0.578 eV/atom


P | Entry from Alexandria: RuAu after structural relaxation (PBE-GGA).

Output
- theoretical density (Mg/m³) = 14.54
- crystal system = orthorhombic
- total magnetization (μB per cell) = 0.0
- DOS at the Fermi energy (states/eV/f.u.) = 1.89

a = 2.7623 Å, b = 13.5532 Å, c = 3.6378 Å
α = 90.00°, β = 90.00°, γ = 90.00°
Space group Cmcm (No. 63)
Unique sites:
Ru 0.0000 0.2081 0.2500 [4 per cell]
Au 0.0000 0.4219 0.2500 [4 per cell]


Q | Entry from Alexandria: RuAu after structural relaxation (PBE-GGA).

Output
- theoretical density (Mg/m³) = 15.35
- crystal system = hexagonal
- total magnetization (μB per cell) = 1.1
- DOS at the Fermi energy (states/eV/f.u.) = 2.26

a = 2.8029 Å, b = 2.8029 Å, c = 4.7377 Å
α = 90.00°, β = 90.00°, γ = 120.00°
Space group P-6m2 (No. 187)
Unique sites:
Ru 0.0000 0.0000 0.0000 [1 per cell]
Au 0.6667 0.3333 0.5000 [1 per cell]


R | Entry from Alexandria: RuAu after structural relaxation (PBE-GGA).

Output
- theoretical density (Mg/m³) = 15.35
- crystal system = trigonal
- total magnetization (μB per cell) = 0.0
- DOS at the Fermi energy (states/eV/f.u.) = 1.93

a = 2.8142 Å, b = 2.8142 Å, c = 28.2085 Å
α = 90.00°, β = 90.00°, γ = 120.00°
Space group R-3m (No. 166, hexagonal axes)
Unique sites:
Ru 0.0000 0.0000 0.1319 [6 per cell]
Au 0.0000 0.0000 0.3791 [6 per cell]


Energetically preferred structure: R | next structure: +0.124 eV/atom


P | Entry from Alexandria: RuAu after structural relaxation (PBE-GGA).

Output
- theoretical density (Mg/m³) = 15.46
- crystal system = cubic
- total magnetization (μB per cell) = 0.0
- DOS at the Fermi energy (states/eV/f.u.) = 2.48

a = 3.1751 Å, b = 3.1751 Å, c = 3.1751 Å
α = 90.00°, β = 90.00°, γ = 90.00°
Space group Pm-3m (No. 221)
Unique sites:
Ru 0.0000 0.0000 0.0000 [1 per cell]
Au 0.5000 0.5000 0.5000 [1 per cell]


Q | Entry from Alexandria: RuAu after structural relaxation (PBE-GGA).

Output
- theoretical density (Mg/m³) = 7.92
- crystal system = cubic
- total magnetization (μB per cell) = 7.3
- DOS at the Fermi energy (states/eV/f.u.) = 3.31

a = 7.9350 Å, b = 7.9350 Å, c = 7.9350 Å
α = 90.00°, β = 90.00°, γ = 90.00°
Space group I-43m (No. 217)
Unique sites:
Ru 0.1121 0.1121 0.1121 [8 per cell]
Au 0.2043 0.2043 0.7957 [8 per cell]


Energetically preferred structure: P | next structure: +0.778 eV/atom


P | Entry from Alexandria: RuAu2 after structural relaxation (PBE-GGA).

Output
- theoretical density (Mg/m³) = 15.91
- crystal system = hexagonal
- total magnetization (μB per cell) = 3.5
- DOS at the Fermi energy (states/eV/f.u.) = 3.34

a = 4.6186 Å, b = 4.6186 Å, c = 5.5931 Å
α = 90.00°, β = 90.00°, γ = 120.00°
Space group P6_3/mmc (No. 194)
Unique sites:
Ru 0.3333 0.6667 0.2500 [2 per cell]
Au 0.0000 0.0000 0.0000 [2 per cell]
Au 0.3333 0.6667 0.7500 [2 per cell]


Q | Entry from Alexandria: RuAu2 after structural relaxation (PBE-GGA).

Output
- theoretical density (Mg/m³) = 16.30
- crystal system = tetragonal
- total magnetization (μB per cell) = 2.9
- DOS at the Fermi energy (states/eV/f.u.) = 2.57

a = 2.8211 Å, b = 2.8211 Å, c = 12.6744 Å
α = 90.00°, β = 90.00°, γ = 90.00°
Space group I4/mmm (No. 139)
Unique sites:
Ru 0.0000 0.0000 0.0000 [2 per cell]
Au 0.0000 0.0000 0.3390 [4 per cell]


Energetically preferred structure: Q | next structure: +0.188 eV/atom


P | Entry from Alexandria: RuAu2 after structural relaxation (PBE-GGA).

Output
- theoretical density (Mg/m³) = 16.23
- crystal system = monoclinic
- total magnetization (μB per cell) = 3.4
- DOS at the Fermi energy (states/eV/f.u.) = 3.16

a = 10.7704 Å, b = 2.8400 Å, c = 6.9073 Å
α = 90.00°, β = 106.51°, γ = 90.00°
Space group Cm (No. 8)
Unique sites:
Ru 0.0000 0.0000 0.0000 [2 per cell]
Ru 0.1426 0.5000 0.2871 [2 per cell]
Au 0.0964 0.5000 0.7174 [2 per cell]
Au 0.2770 0.0000 0.0463 [2 per cell]
Au 0.3140 0.0000 0.6428 [2 per cell]
Au 0.4378 0.5000 0.3797 [2 per cell]


Q | Entry from Alexandria: RuAu2 after structural relaxation (PBE-GGA).

Output
- theoretical density (Mg/m³) = 16.22
- crystal system = orthorhombic
- total magnetization (μB per cell) = 7.2
- DOS at the Fermi energy (states/eV/f.u.) = 2.74

a = 2.8053 Å, b = 15.0435 Å, c = 4.8042 Å
α = 90.00°, β = 90.00°, γ = 90.00°
Space group Cmcm (No. 63)
Unique sites:
Ru 0.0000 0.1124 0.2500 [4 per cell]
Au 0.0000 0.2218 0.7500 [4 per cell]
Au 0.0000 0.4471 0.2500 [4 per cell]


R | Entry from Alexandria: RuAu2 after structural relaxation (PBE-GGA).

Output
- theoretical density (Mg/m³) = 16.04
- crystal system = hexagonal
- total magnetization (μB per cell) = 5.8
- DOS at the Fermi energy (states/eV/f.u.) = 2.70

a = 7.9706 Å, b = 7.9706 Å, c = 2.7943 Å
α = 90.00°, β = 90.00°, γ = 120.00°
Space group P-62m (No. 189)
Unique sites:
Ru 0.0000 0.0000 0.0000 [1 per cell]
Ru 0.3333 0.6667 0.5000 [2 per cell]
Au 0.0000 0.3030 0.5000 [3 per cell]
Au 0.0000 0.6351 0.0000 [3 per cell]


Energetically preferred structure: P | next structure: +0.084 eV/atom


P | Entry from Alexandria: RuAu2 after structural relaxation (PBE-GGA).

Output
- theoretical density (Mg/m³) = 13.48
- crystal system = tetragonal
- total magnetization (μB per cell) = 0.7
- DOS at the Fermi energy (states/eV/f.u.) = 4.25

a = 4.7631 Å, b = 4.7631 Å, c = 2.6877 Å
α = 90.00°, β = 90.00°, γ = 90.00°
Space group P4/mmm (No. 123)
Unique sites:
Ru 0.0000 0.0000 0.0000 [1 per cell]
Au 0.0000 0.5000 0.5000 [2 per cell]


Q | Entry from Alexandria: RuAu2 after structural relaxation (PBE-GGA).

Output
- theoretical density (Mg/m³) = 16.17
- crystal system = orthorhombic
- total magnetization (μB per cell) = 3.3
- DOS at the Fermi energy (states/eV/f.u.) = 3.14

a = 5.8874 Å, b = 3.9344 Å, c = 8.7778 Å
α = 90.00°, β = 90.00°, γ = 90.00°
Space group Pnma (No. 62)
Unique sites:
Ru 0.0914 0.2500 0.0623 [4 per cell]
Au 0.1138 0.2500 0.4113 [4 per cell]
Au 0.1427 0.2500 0.7451 [4 per cell]


Energetically preferred structure: Q | next structure: +0.137 eV/atom


P | Entry from Alexandria: RuAu2 after structural relaxation (PBE-GGA).

Output
- theoretical density (Mg/m³) = 16.26
- crystal system = monoclinic
- total magnetization (μB per cell) = 3.3
- DOS at the Fermi energy (states/eV/f.u.) = 3.07

a = 10.7664 Å, b = 2.8418 Å, c = 6.9419 Å
α = 90.00°, β = 107.86°, γ = 90.00°
Space group C2/m (No. 12)
Unique sites:
Ru 0.2020 0.0000 0.1137 [4 per cell]
Au 0.0142 0.5000 0.8038 [4 per cell]
Au 0.1466 0.0000 0.5450 [4 per cell]


Q | Entry from Alexandria: RuAu2 after structural relaxation (PBE-GGA).

Output
- theoretical density (Mg/m³) = 16.47
- crystal system = orthorhombic
- total magnetization (μB per cell) = 0.0
- DOS at the Fermi energy (states/eV/f.u.) = 2.86

a = 2.8130 Å, b = 15.3724 Å, c = 4.6155 Å
α = 90.00°, β = 90.00°, γ = 90.00°
Space group Cmcm (No. 63)
Unique sites:
Ru 0.0000 0.2251 0.2500 [4 per cell]
Au 0.0000 0.1187 0.7500 [4 per cell]
Au 0.0000 0.4433 0.7500 [4 per cell]


Energetically preferred structure: Q | next structure: +0.014 eV/atom


P | Entry from Alexandria: Ru5Au after structural relaxation (PBE-GGA).

Output
- theoretical density (Mg/m³) = 13.38
- crystal system = monoclinic
- total magnetization (μB per cell) = 0.0
- DOS at the Fermi energy (states/eV/f.u.) = 6.82

a = 10.0538 Å, b = 2.7691 Å, c = 6.4575 Å
α = 90.00°, β = 104.07°, γ = 90.00°
Space group Cm (No. 8)
Unique sites:
Ru 0.0000 0.0000 0.0000 [2 per cell]
Ru 0.0523 0.0000 0.5929 [2 per cell]
Ru 0.1551 0.5000 0.3163 [2 per cell]
Ru 0.2115 0.5000 0.9437 [2 per cell]
Ru 0.3832 0.0000 0.2622 [2 per cell]
Au 0.3284 0.0000 0.6601 [2 per cell]


Q | Entry from Alexandria: Ru5Au after structural relaxation (PBE-GGA).

Output
- theoretical density (Mg/m³) = 13.35
- crystal system = orthorhombic
- total magnetization (μB per cell) = 0.3
- DOS at the Fermi energy (states/eV/f.u.) = 7.77

a = 4.3781 Å, b = 2.7747 Å, c = 14.3807 Å
α = 90.00°, β = 90.00°, γ = 90.00°
Space group Amm2 (No. 38)
Unique sites:
Ru 0.0000 0.0000 0.0000 [2 per cell]
Ru 0.0000 0.0000 0.3247 [2 per cell]
Ru 0.0000 0.0000 0.6633 [2 per cell]
Ru 0.5000 0.0000 0.2125 [2 per cell]
Ru 0.5000 0.0000 0.5589 [2 per cell]
Au 0.5000 0.0000 0.8866 [2 per cell]


R | Entry from Alexandria: Ru5Au after structural relaxation (PBE-GGA).

Output
- theoretical density (Mg/m³) = 11.90
- crystal system = hexagonal
- total magnetization (μB per cell) = 3.7
- DOS at the Fermi energy (states/eV/f.u.) = 9.81

a = 5.0134 Å, b = 5.0134 Å, c = 4.5034 Å
α = 90.00°, β = 90.00°, γ = 120.00°
Space group P6/mmm (No. 191)
Unique sites:
Ru 0.0000 0.5000 0.0000 [3 per cell]
Ru 0.3333 0.6667 0.5000 [2 per cell]
Au 0.0000 0.0000 0.5000 [1 per cell]


Energetically preferred structure: P | next structure: +0.017 eV/atom


P | Entry from Alexandria: Ru3AuS after structural relaxation (PBE-GGA).

Output
- theoretical density (Mg/m³) = 10.76
- crystal system = cubic
- total magnetization (μB per cell) = 2.4
- DOS at the Fermi energy (states/eV/f.u.) = 4.44

a = 4.3466 Å, b = 4.3466 Å, c = 4.3466 Å
α = 90.00°, β = 90.00°, γ = 90.00°
Space group Pm-3m (No. 221)
Unique sites:
Ru 0.0000 0.0000 0.5000 [3 per cell]
Au 0.5000 0.5000 0.5000 [1 per cell]
S 0.0000 0.0000 0.0000 [1 per cell]


Q | Entry from Alexandria: Ru3AuS after structural relaxation (PBE-GGA).

Output
- theoretical density (Mg/m³) = 7.38
- crystal system = cubic
- total magnetization (μB per cell) = 8.0
- DOS at the Fermi energy (states/eV/f.u.) = 6.62

a = 4.9296 Å, b = 4.9296 Å, c = 4.9296 Å
α = 90.00°, β = 90.00°, γ = 90.00°
Space group Pm-3m (No. 221)
Unique sites:
Ru 0.0000 0.0000 0.5000 [3 per cell]
Au 0.0000 0.0000 0.0000 [1 per cell]
S 0.5000 0.5000 0.5000 [1 per cell]


Energetically preferred structure: P | next structure: +1.774 eV/atom


P | Entry from Alexandria: Sb3RuAu after structural relaxation (PBE-GGA).

Output
- theoretical density (Mg/m³) = 8.31
- crystal system = cubic
- total magnetization (μB per cell) = 0.0
- DOS at the Fermi energy (states/eV/f.u.) = 1.54

a = 5.0985 Å, b = 5.0985 Å, c = 5.0985 Å
α = 90.00°, β = 90.00°, γ = 90.00°
Space group Pm-3m (No. 221)
Unique sites:
Sb 0.0000 0.0000 0.5000 [3 per cell]
Ru 0.0000 0.0000 0.0000 [1 per cell]
Au 0.5000 0.5000 0.5000 [1 per cell]


Q | Entry from Alexandria: Sb3RuAu after structural relaxation (PBE-GGA).

Output
- theoretical density (Mg/m³) = 7.40
- crystal system = cubic
- total magnetization (μB per cell) = 1.8
- DOS at the Fermi energy (states/eV/f.u.) = 7.46

a = 5.2997 Å, b = 5.2997 Å, c = 5.2997 Å
α = 90.00°, β = 90.00°, γ = 90.00°
Space group Pm-3m (No. 221)
Unique sites:
Sb 0.0000 0.0000 0.5000 [3 per cell]
Ru 0.5000 0.5000 0.5000 [1 per cell]
Au 0.0000 0.0000 0.0000 [1 per cell]


Energetically preferred structure: P | next structure: +0.809 eV/atom


P | Entry from Alexandria: SbRuAu3 after structural relaxation (PBE-GGA).

Output
- theoretical density (Mg/m³) = 10.67
- crystal system = cubic
- total magnetization (μB per cell) = 2.3
- DOS at the Fermi energy (states/eV/f.u.) = 4.78

a = 5.0219 Å, b = 5.0219 Å, c = 5.0219 Å
α = 90.00°, β = 90.00°, γ = 90.00°
Space group Pm-3m (No. 221)
Unique sites:
Sb 0.0000 0.0000 0.0000 [1 per cell]
Ru 0.5000 0.5000 0.5000 [1 per cell]
Au 0.0000 0.5000 0.5000 [3 per cell]


Q | Entry from Alexandria: SbRuAu3 after structural relaxation (PBE-GGA).

Output
- theoretical density (Mg/m³) = 10.13
- crystal system = cubic
- total magnetization (μB per cell) = 2.3
- DOS at the Fermi energy (states/eV/f.u.) = 5.24

a = 5.1093 Å, b = 5.1093 Å, c = 5.1093 Å
α = 90.00°, β = 90.00°, γ = 90.00°
Space group Pm-3m (No. 221)
Unique sites:
Sb 0.0000 0.0000 0.0000 [1 per cell]
Ru 0.5000 0.5000 0.5000 [1 per cell]
Au 0.0000 0.0000 0.5000 [3 per cell]


Energetically preferred structure: P | next structure: +0.182 eV/atom